VASP calculation (PBE-GGA) on an optimized crystal structure of LiY2ReAs.

Its formation energy is 0.40 eV per atom. For the theoretical density, the calculation gives 5813 kg/m3.

The space group is P4/mmm (No. 123) and the conventional cell measures 5.2434, 5.2434 and 4.6332 Å, with angles of 90.00, 90.00 and 90.00 degrees. The distinct sites, in fractional coordinates, are Li at (0.0000, 0.0000, 0.0000), Y at (0.0000, 0.5000, 0.5000), Re at (0.0000, 0.0000, 0.5000) and As at (0.5000, 0.5000, 0.0000).